LiFeMoOs | the Alexandria database | GGA-PBE | optimized geometry; size of the total moment = 0.270 μB per cell; crystal system = cubic; energy of formation from the pure elements = 0.176 eV per atom; volume = 13.1 Å³ per atom
1.0
0.0000 2.9689 2.9689
2.9689 0.0000 2.9689
2.9689 2.9689 0.0000
Li Fe Mo Os
1 1 1 1
direct
0.0000 0.0000 0.0000
0.7500 0.7500 0.7500
0.5000 0.5000 0.5000
0.2500 0.2500 0.2500